[1]
Entry from the Alexandria database: crystalline SrTi2Bi at its relaxed geometry (GGA-PBE).

Unit cell a=8.6860 b=8.6860 c=6.9135 alpha=51.08 beta=51.08 gamma=90.00
Closest atoms and distances in Å follow each position.
Fractional positions:
1 Ti 0.8750 0.9318 0.7500  2 Bi 2.86
2 Bi 0.7500 0.2500 0.5000  4 Ti 2.86, 2 Sr 3.17
3 Sr 0.5000 0.5000 0.0000  2 Bi 3.17, 4 Ti 3.53
4 Ti 0.3750 0.3182 0.7500  2 Bi 2.86
5 Ti 0.0682 0.6250 0.2500  2 Bi 2.86
6 Ti 0.6818 0.1250 0.2500  2 Bi 2.86
7 Sr 0.2500 0.7500 0.5000  2 Bi 3.17, 4 Ti 3.53
8 Bi 0.0000 0.0000 0.0000  4 Ti 2.86, 2 Sr 3.17

Total magnetic moment (μB/atom): 1.0234
Formation energy (eV per formula unit): 2.3
Space-group type: I-42d, No. 122

***

[2]
Entry from the Alexandria database: crystalline SrTiBi2 at its relaxed geometry (GGA-PBE).

Unit cell a=5.4520 b=5.4520 c=5.4520 alpha=60.00 beta=60.00 gamma=60.00
Closest atoms and distances in Å follow each position.
Fractional positions:
1 Sr 0.5000 0.5000 0.5000  8 Bi 3.34
2 Ti 0.0000 0.0000 0.0000  8 Bi 3.34
3 Bi 0.2500 0.2500 0.2500  4 Sr 3.34, 4 Ti 3.34
4 Bi 0.7500 0.7500 0.7500  4 Sr 3.34, 4 Ti 3.34

Total magnetic moment (μB/atom): 0.5043
Formation energy (eV per formula unit): -0.7
Space-group type: Fm-3m, No. 225

***

[3]
Entry from the Alexandria database: crystalline SrTiBi2 at its relaxed geometry (GGA-PBE).

Unit cell a=8.3154 b=8.3154 c=6.9505 alpha=53.26 beta=53.26 gamma=90.00
Closest atoms and distances in Å follow each position.
Fractional positions:
1 Ti 0.5000 0.5000 0.0000  4 Bi 2.84
2 Sr 0.7500 0.2500 0.5000  4 Bi 3.35, 2 Ti 3.71
3 Bi 0.3750 0.4208 0.7500  2 Ti 2.84
4 Ti 0.2500 0.7500 0.5000  4 Bi 2.84
5 Bi 0.8750 0.8292 0.7500  2 Ti 2.84
6 Sr 0.0000 0.0000 0.0000  4 Bi 3.35, 2 Ti 3.71
7 Bi 0.5792 0.1250 0.2500  2 Ti 2.84
8 Bi 0.1708 0.6250 0.2500  2 Ti 2.84

Total magnetic moment (μB/atom): 0.1621
Formation energy (eV per formula unit): -0.9
Space-group type: I-42d, No. 122

***

[4]
Entry from the Alexandria database: crystalline Sr2TiBi at its relaxed geometry (GGA-PBE).

Unit cell a=9.1857 b=9.1857 c=7.3314 alpha=51.21 beta=51.21 gamma=90.00
Closest atoms and distances in Å follow each position.
Fractional positions:
1 Bi 0.0000 0.0000 0.0000  4 Sr 3.29, 2 Ti 3.40
2 Ti 0.2500 0.7500 0.5000  2 Bi 3.40, 4 Sr 3.43
3 Bi 0.7500 0.2500 0.5000  4 Sr 3.29, 2 Ti 3.40
4 Sr 0.8750 0.8864 0.7500  2 Bi 3.29, 2 Sr 3.41, 2 Ti 3.43
5 Sr 0.1136 0.6250 0.2500  2 Bi 3.29, 2 Sr 3.41, 2 Ti 3.43
6 Sr 0.6364 0.1250 0.2500  2 Bi 3.29, 2 Sr 3.41, 2 Ti 3.43
7 Ti 0.5000 0.5000 0.0000  2 Bi 3.40, 4 Sr 3.43
8 Sr 0.3750 0.3636 0.7500  2 Bi 3.29, 2 Sr 3.41, 2 Ti 3.43

Total magnetic moment (μB/atom): 0.7290
Formation energy (eV per formula unit): 1.3
Space-group type: I-42d, No. 122

***

[5]
Entry from the Alexandria database: crystalline SrTiBi3 at its relaxed geometry (GGA-PBE).

Unit cell a=6.4673 b=6.6047 c=14.4495 alpha=90.00 beta=90.00 gamma=90.00
Closest atoms and distances in Å follow each position.
Fractional positions:
1 Bi 0.0000 0.2500 0.4958  4 Bi 3.23-3.30, 4 Sr 3.60-3.62
2 Sr 0.2500 0.0128 0.6917  9 Bi 3.53-3.62
3 Bi 0.2500 0.0094 0.2115  2 Ti 2.88
4 Ti 0.0000 0.2500 0.0890  6 Bi 2.88-2.91
5 Bi 0.0000 0.7500 0.5042  4 Bi 3.23-3.30, 4 Sr 3.60-3.62
6 Bi 0.7500 0.4906 0.2115  2 Ti 2.88
7 Bi 0.5000 0.2500 0.4958  4 Bi 3.23-3.30, 4 Sr 3.60-3.62
8 Sr 0.7500 0.4872 0.6917  9 Bi 3.53-3.62
9 Ti 0.5000 0.2500 0.0890  6 Bi 2.88-2.91
10 Ti 0.5000 0.7500 0.9110  6 Bi 2.88-2.91
11 Bi 0.5000 0.7500 0.5042  4 Bi 3.23-3.30, 4 Sr 3.60-3.62
12 Bi 0.7500 0.3897 0.9340  4 Ti 2.90-2.91
13 Ti 0.0000 0.7500 0.9110  6 Bi 2.88-2.91
14 Bi 0.2500 0.1103 0.9340  4 Ti 2.90-2.91
15 Bi 0.2500 0.6103 0.0660  4 Ti 2.90-2.91
16 Sr 0.2500 0.5128 0.3083  9 Bi 3.53-3.62
17 Bi 0.2500 0.5094 0.7885  2 Ti 2.88
18 Sr 0.7500 0.9872 0.3083  9 Bi 3.53-3.62
19 Bi 0.7500 0.8897 0.0660  4 Ti 2.90-2.91
20 Bi 0.7500 0.9906 0.7885  2 Ti 2.88

Total magnetic moment (μB/atom): 0.0000
Formation energy (eV per formula unit): -2.0
Space-group type: Pbcm, No. 57

***

[6]
Entry from the Alexandria database: crystalline SrTiBi2 at its relaxed geometry (GGA-PBE).

Unit cell a=4.2795 b=4.2795 c=8.1110 alpha=74.70 beta=74.70 gamma=60.00
Closest atoms and distances in Å follow each position.
Fractional positions:
1 Bi 0.7342 0.7342 0.7974  3 Ti 2.92
2 Sr 0.5000 0.5000 0.5000  6 Bi 3.37
3 Ti 0.0000 0.0000 0.0000  6 Bi 2.92
4 Bi 0.2658 0.2658 0.2026  3 Ti 2.92

Total magnetic moment (μB/atom): 0.0000
Formation energy (eV per formula unit): -1.6
Space-group type: R-3m, No. 166

***

[7]
Entry from the Alexandria database: crystalline SrTi2ZnBi at its relaxed geometry (GGA-PBE).

Unit cell a=4.9893 b=5.6271 c=4.9893 alpha=90.00 beta=90.00 gamma=90.00
Closest atoms and distances in Å follow each position.
Fractional positions:
1 Zn 0.0000 0.0000 0.0000  4 Ti 2.49
2 Ti 0.0000 0.0000 0.5000  2 Zn 2.49
3 Ti 0.5000 0.0000 0.0000  2 Zn 2.49
4 Bi 0.0000 0.5000 0.0000  2 Zn 2.81
5 Sr 0.5000 0.5000 0.5000  4 Bi 3.53, 8 Ti 3.76

Total magnetic moment (μB/atom): 0.8514
Formation energy (eV per formula unit): 2.4
Space-group type: P4/mmm, No. 123

***

[8]
Entry from the Alexandria database: crystalline SrTiZnBi2 at its relaxed geometry (GGA-PBE).

Unit cell a=5.4483 b=5.1427 c=5.4483 alpha=90.00 beta=90.00 gamma=90.00
Closest atoms and distances in Å follow each position.
Fractional positions:
1 Bi 0.0000 0.0000 0.5000  2 Ti 2.72
2 Zn 0.0000 0.5000 0.0000  2 Ti 2.57
3 Ti 0.0000 0.0000 0.0000  2 Zn 2.57, 4 Bi 2.72
4 Bi 0.5000 0.0000 0.0000  2 Ti 2.72
5 Sr 0.5000 0.5000 0.5000  8 Bi 3.75, 4 Zn 3.85

Total magnetic moment (μB/atom): 0.0000
Formation energy (eV per formula unit): -1.0
Space-group type: P4/mmm, No. 123